## KCa3V4O12 (PBE with a Hubbard U)

Data for a relaxed KCa3V4O12 crystal.

Cell and atoms, written as extended XYZ:
```
20
Lattice="-7.213 -0.505 -1.418 3.474 -0.117 -6.497 1.918 -6.156 3.566" Properties=species:S:1:pos:R:3 pbc="T T T"
O -5.348 -2.712 -1.444
O -4.231 -4.346 0.782
O 3.546 -3.227 -4.292
O -1.559 -5.907 2.021
O 0.663 -3.331 -2.922
O -4.718 -1.032 -4.253
O -1.776 -0.782 -5.800
O -1.139 -4.277 -0.694
O -2.254 -2.557 -2.908
O 1.085 -1.610 -5.855
O 1.507 -5.938 0.714
O 3.302 -4.942 -1.444
V 3.075 -5.855 0.001
V -0.910 -3.389 -2.175
V -5.575 -3.558 0.042
V -0.231 -0.752 -6.567
Ca 2.790 -2.770 -2.076
Ca -2.094 -3.673 1.376
Ca -2.518 -0.334 -3.649
K 0.000 0.000 0.000
```

uncorrected energy	-6.9283	eV/atom